# 1
AcSmBi2O8: optimized geometry, PBE-GGA.

abc: 5.594 5.594 7.100
angles: 113.20 113.20 90.00
Fractional positions:
1 Ac 0.750 0.250 0.500
2 Sm 0.000 0.000 0.000
3 Bi 0.500 0.500 0.000
4 Bi 0.250 0.750 0.500
5 O 0.789 0.836 0.179
6 O 0.391 0.343 0.179
7 O 0.599 0.668 0.692
8 O 0.093 0.024 0.692
9 O 0.976 0.401 0.308
10 O 0.332 0.907 0.308
11 O 0.164 0.609 0.821
12 O 0.657 0.211 0.821

Output
V: 184.51 Å³/f.u.
Raw formation energy: -1.934 eV per atom
Crystal system: tetragonal
E_tot: -6.622 eV per atom
Magnetization: 0.000 Bohr magnetons per cell

=====

# 2
AcSmBiO6: optimized geometry, PBE-GGA.

abc: 5.205 5.931 5.931
angles: 120.00 90.00 90.00
Last column: magnetic moment on the atom in μB.
Fractional positions:
1 Ac 0.000 0.333 0.667  0.00
2 Sm 0.500 0.667 0.333  -0.01
3 Bi 0.500 0.000 0.000  -0.02
4 O 0.724 0.698 0.692  0.15
5 O 0.724 0.308 0.006  0.15
6 O 0.724 0.994 0.302  0.15
7 O 0.276 0.308 0.302  0.15
8 O 0.276 0.698 0.006  0.15
9 O 0.276 0.994 0.692  0.15

Output
V: 158.55 Å³/f.u.
Raw formation energy: -2.098 eV per atom
Crystal system: trigonal
E_tot: -6.816 eV per atom
Magnetization: 1.064 Bohr magnetons per cell

=====

Please write out number 2 again, unchanged.
AcSmBiO6: optimized geometry, PBE-GGA.

abc: 5.205 5.931 5.931
angles: 120.00 90.00 90.00
Last column: magnetic moment on the atom in μB.
Fractional positions:
1 Ac 0.000 0.333 0.667  0.00
2 Sm 0.500 0.667 0.333  -0.01
3 Bi 0.500 0.000 0.000  -0.02
4 O 0.724 0.698 0.692  0.15
5 O 0.724 0.308 0.006  0.15
6 O 0.724 0.994 0.302  0.15
7 O 0.276 0.308 0.302  0.15
8 O 0.276 0.698 0.006  0.15
9 O 0.276 0.994 0.692  0.15

Output
V: 158.55 Å³/f.u.
Raw formation energy: -2.098 eV per atom
Crystal system: trigonal
E_tot: -6.816 eV per atom
Magnetization: 1.064 Bohr magnetons per cell